Entry 1:
ScAlSe (PBE-GGA, optimized geometry); crystal system = cubic; uncorrected formation energy = -0.30 eV/atom; space-group type = F-43m (216); V = 68.7 Å³ per cell
1.0
4.5971 0.0000 0.0000
2.2986 3.9812 0.0000
2.2986 1.3271 3.7536
Al Sc Se
1 1 1
Direct
0.0000 0.0000 0.0000
0.5000 0.5000 0.5000
0.7500 0.7500 0.7500



Entry 2:
ScAlTl2Se4 (PBE-GGA, optimized geometry); crystal system = orthorhombic; uncorrected formation energy = -0.85 eV/atom; space-group type = Imma (74); V = 407.5 Å³ per cell
1.0
8.3287 -0.0179 -0.1019
-0.0238 8.3287 -0.1019
-4.1420 -4.1449 5.9770
Se Tl Al Sc
8 4 2 2
Direct
0.7574 0.3046 0.5310
0.2354 0.2647 0.0437
0.2426 0.6954 0.4690
0.7647 0.7354 0.5437
0.1954 0.7426 0.9690
0.7646 0.7353 0.9563
0.2353 0.2646 0.4563
0.8046 0.2574 0.0310
0.5000 0.5000 0.0000
0.5000 0.0000 0.5000
0.5000 0.0000 0.0000
0.0000 0.0000 0.5000
0.0000 0.0000 0.0000
0.5000 0.5000 0.5000
0.0000 0.5000 0.0000
0.0000 0.5000 0.5000



Entry 3:
Sc2AlTl2Se6 (PBE-GGA, optimized geometry); crystal system = monoclinic; uncorrected formation energy = -1.06 eV/atom; space-group type = C2/m (12); V = 297.4 Å³ per cell
1.0
-6.5429 1.4497 0.7755
1.8300 -6.1293 -2.1437
1.9332 -0.7882 7.5914
Tl Al Se Sc
2 1 6 2
Direct
0.8306 0.1694 0.0000
0.1694 0.8306 0.0000
0.0000 0.0000 0.5000
0.9293 0.6090 0.3035
0.3910 0.0707 0.6965
0.2493 0.2493 0.3138
0.0707 0.3910 0.6965
0.7507 0.7507 0.6862
0.6090 0.9293 0.3035
0.6709 0.3291 0.5000
0.3291 0.6709 0.5000